First-principles (PBE) data for an optimized crystal structure of KCuPd2Cl6, as listed in Alexandria.

The structure in POSCAR format:
```
KCuPd2Cl6
1.0
6.7697 0.0000 0.0000
-3.3800 6.1141 0.0000
-0.5091 -3.1932 6.7119
K Cu Pd Cl
1 1 2 6
Direct
0.0000 0.0000 0.0000 K
0.1610 0.7052 0.5799 Cu
0.4117 0.7160 0.0999 Pd
0.4602 0.2311 0.6186 Pd
0.0537 0.9635 0.5461 Cl
0.2934 0.5541 0.3306 Cl
0.4404 0.0809 0.2802 Cl
0.4802 0.8437 0.8443 Cl
0.4884 0.4107 0.9583 Cl
0.8730 0.4733 0.7022 Cl
```

Energy   -3.42 eV per atom
Magnetic moment   0.0 μB/f.u.
Raw formation energy   -17.41 kcal/mol of atoms

***

First-principles (PBE) data for an optimized crystal structure of K3Cu2PdCl8, as listed in Alexandria.

The structure in POSCAR format:
```
K3Cu2PdCl8
1.0
6.9699 0.0000 0.0000
-3.4849 6.0361 0.0000
0.0000 0.0000 8.9624
K Cu Pd Cl
3 2 1 8
Direct
0.0000 0.0000 0.0000 K
0.3333 0.6667 0.6245 K
0.6667 0.3333 0.3755 K
0.3333 0.6667 0.2037 Cu
0.6667 0.3333 0.7963 Cu
0.0000 0.0000 0.5000 Pd
0.1657 0.3314 0.3324 Cl
0.1657 0.8343 0.3324 Cl
0.3314 0.1657 0.6676 Cl
0.3333 0.6667 0.9617 Cl
0.6667 0.3333 0.0383 Cl
0.6686 0.8343 0.3324 Cl
0.8343 0.1657 0.6676 Cl
0.8343 0.6686 0.6676 Cl
```

Energy   -3.36 eV per atom
Magnetic moment   0.0 μB/f.u.
Raw formation energy   -25.58 kcal/mol of atoms

***

First-principles (PBE) data for an optimized crystal structure of K2CuPdCl6, as listed in Alexandria.

The structure in POSCAR format:
```
K2CuPdCl6
1.0
3.4768 2.0073 11.7848
-3.4768 2.0073 11.7848
0.0000 -4.0147 11.7848
K Cu Pd Cl
4 2 2 12
Direct
0.1205 0.1205 0.1205 K
0.2972 0.2972 0.2972 K
0.7028 0.7028 0.7028 K
0.8795 0.8795 0.8795 K
0.4137 0.4137 0.4137 Cu
0.5863 0.5863 0.5863 Cu
0.0000 0.0000 0.0000 Pd
0.5000 0.5000 0.5000 Pd
0.1320 0.6200 0.6200 Cl
0.2085 0.2085 0.7051 Cl
0.2085 0.7051 0.2085 Cl
0.2949 0.7915 0.7915 Cl
0.3800 0.3800 0.8680 Cl
0.3800 0.8680 0.3800 Cl
0.6200 0.1320 0.6200 Cl
0.6200 0.6200 0.1320 Cl
0.7051 0.2085 0.2085 Cl
0.7915 0.2949 0.7915 Cl
0.7915 0.7915 0.2949 Cl
0.8680 0.3800 0.3800 Cl
```

Energy   -3.32 eV per atom
Magnetic moment   0.7 μB/f.u.
Raw formation energy   -24.48 kcal/mol of atoms

***

First-principles (PBE) data for an optimized crystal structure of KPmCu2Cl8, as listed in Alexandria.

The structure in POSCAR format:
```
KPmCu2Cl8
1.0
-3.2730 3.2730 7.2037
3.2730 -3.2730 7.2037
3.2730 3.2730 -7.2037
K Pm Cu Cl
1 1 2 8
Direct
0.0000 0.0000 0.0000 K
0.2500 0.7500 0.5000 Pm
0.5000 0.5000 0.0000 Cu
0.7500 0.2500 0.5000 Cu
0.2880 0.6849 0.1399 Cl
0.3151 0.4550 0.6031 Cl
0.4140 0.0231 0.0620 Cl
0.5450 0.1481 0.8601 Cl
0.6480 0.5860 0.6091 Cl
0.8519 0.7120 0.3969 Cl
0.9611 0.3520 0.9380 Cl
0.9769 0.0389 0.3909 Cl
```

Energy   -3.66 eV per atom
Magnetic moment   2.1 μB/f.u.
Raw formation energy   -29.12 kcal/mol of atoms

***

First-principles (PBE) data for an optimized crystal structure of K3PmCu2Cl9, as listed in Alexandria.

The structure in POSCAR format:
```
K3PmCu2Cl9
1.0
7.1854 0.0000 0.0000
-3.5927 6.2227 0.0000
0.0000 0.0000 9.0401
K Pm Cu Cl
3 1 2 9
Direct
0.0000 0.0000 0.0000 K
0.3333 0.6667 0.7141 K
0.6667 0.3333 0.2859 K
0.0000 0.0000 0.5000 Pm
0.3333 0.6667 0.1421 Cu
0.6667 0.3333 0.8579 Cu
0.0000 0.5000 0.0000 Cl
0.1727 0.3455 0.3206 Cl
0.1727 0.8273 0.3206 Cl
0.3455 0.1727 0.6794 Cl
0.5000 0.0000 0.0000 Cl
0.5000 0.5000 0.0000 Cl
0.6545 0.8273 0.3206 Cl
0.8273 0.1727 0.6794 Cl
0.8273 0.6545 0.6794 Cl
```

Energy   -3.72 eV per atom
Magnetic moment   1.1 μB/f.u.
Raw formation energy   -35.18 kcal/mol of atoms

***

First-principles (PBE) data for an optimized crystal structure of K2PmCuCl6, as listed in Alexandria.

The structure in POSCAR format:
```
K2PmCuCl6
1.0
7.7100 0.0000 0.0000
0.0000 8.3270 0.0000
-7.6565 0.0000 9.3779
K Pm Cu Cl
4 2 2 12
Direct
0.2319 0.0817 0.2475 K
0.2319 0.4183 0.7475 K
0.7681 0.5817 0.2525 K
0.7681 0.9183 0.7525 K
0.0000 0.0000 0.5000 Pm
0.0000 0.5000 0.0000 Pm
0.5000 0.0000 0.0000 Cu
0.5000 0.5000 0.5000 Cu
0.1134 0.2169 0.9512 Cl
0.1134 0.2831 0.4512 Cl
0.2470 0.6621 0.9501 Cl
0.2470 0.8379 0.4501 Cl
0.3804 0.0342 0.7843 Cl
0.3804 0.4658 0.2843 Cl
0.6196 0.5342 0.7157 Cl
0.6196 0.9658 0.2157 Cl
0.7530 0.1621 0.5499 Cl
0.7530 0.3379 0.0499 Cl
0.8866 0.7169 0.5488 Cl
0.8866 0.7831 0.0488 Cl
```

Energy   -3.98 eV per atom
Magnetic moment   0.1 μB/f.u.
Raw formation energy   -40.80 kcal/mol of atoms

***

First-principles (PBE) data for an optimized crystal structure of KPmCuCl5, as listed in Alexandria.

The structure in POSCAR format:
```
KPmCuCl5
1.0
4.3972 -5.9689 0.0000
4.3972 5.9689 0.0000
-3.9319 0.0000 9.3187
K Pm Cu Cl
2 2 2 10
Direct
0.1453 0.8547 0.7500 K
0.8547 0.1453 0.2500 K
0.5000 0.5000 0.0000 Pm
0.5000 0.5000 0.5000 Pm
0.1878 0.8122 0.2500 Cu
0.8122 0.1878 0.7500 Cu
0.1136 0.2498 0.9266 Cl
0.1818 0.5865 0.3774 Cl
0.2498 0.1136 0.4266 Cl
0.4104 0.5896 0.7500 Cl
0.4135 0.8182 0.1226 Cl
0.5865 0.1818 0.8774 Cl
0.5896 0.4104 0.2500 Cl
0.7502 0.8864 0.5734 Cl
0.8182 0.4135 0.6226 Cl
0.8864 0.7502 0.0734 Cl
```

Energy   -4.13 eV per atom
Magnetic moment   0.1 μB/f.u.
Raw formation energy   -39.96 kcal/mol of atoms

***

First-principles (PBE) data for an optimized crystal structure of KPrCu2Cl8, as listed in Alexandria.

The structure in POSCAR format:
```
KPrCu2Cl8
1.0
-3.2970 3.2970 7.2094
3.2970 -3.2970 7.2094
3.2970 3.2970 -7.2094
K Pr Cu Cl
1 1 2 8
Direct
0.0000 0.0000 0.0000 K
0.7500 0.2500 0.5000 Pr
0.2500 0.7500 0.5000 Cu
0.5000 0.5000 0.0000 Cu
0.0258 0.9589 0.6105 Cl
0.0411 0.6516 0.0668 Cl
0.1503 0.2895 0.6038 Cl
0.3484 0.4152 0.3895 Cl
0.4535 0.8497 0.1392 Cl
0.5848 0.9742 0.9332 Cl
0.6858 0.5465 0.3962 Cl
0.7105 0.3142 0.8608 Cl
```

Energy   -3.67 eV per atom
Magnetic moment   2.1 μB/f.u.
Raw formation energy   -29.27 kcal/mol of atoms

***

First-principles (PBE) data for an optimized crystal structure of K2PrCuCl6, as listed in Alexandria.

The structure in POSCAR format:
```
K2PrCuCl6
1.0
7.7515 0.0000 0.0000
0.0000 8.3807 0.0000
-7.6534 0.0000 9.4437
K Pr Cu Cl
4 2 2 12
Direct
0.2335 0.0812 0.2474 K
0.2335 0.4188 0.7474 K
0.7665 0.5812 0.2526 K
0.7665 0.9188 0.7526 K
0.0000 0.0000 0.5000 Pr
0.0000 0.5000 0.0000 Pr
0.5000 0.0000 0.0000 Cu
0.5000 0.5000 0.5000 Cu
0.1128 0.2132 0.9511 Cl
0.1128 0.2868 0.4511 Cl
0.2502 0.6617 0.9492 Cl
0.2502 0.8383 0.4492 Cl
0.3832 0.0361 0.7863 Cl
0.3832 0.4639 0.2863 Cl
0.6168 0.5361 0.7137 Cl
0.6168 0.9639 0.2137 Cl
0.7498 0.1617 0.5508 Cl
0.7498 0.3383 0.0508 Cl
0.8872 0.7132 0.5489 Cl
0.8872 0.7868 0.0489 Cl
```

Energy   -3.98 eV per atom
Excess energy over the best structure of this formula in the dataset   0.000 eV per atom
Magnetic moment   0.1 μB/f.u.
Raw formation energy   -40.59 kcal/mol of atoms

***

First-principles (PBE) data for an optimized crystal structure of K2PrCuCl6, as listed in Alexandria.

The structure in POSCAR format:
```
K2PrCuCl6
1.0
0.0000 5.2746 5.2746
5.2746 0.0000 5.2746
5.2746 5.2746 0.0000
K Pr Cu Cl
2 1 1 6
Direct
0.2500 0.2500 0.2500 K
0.7500 0.7500 0.7500 K
0.0000 0.0000 0.0000 Pr
0.5000 0.5000 0.5000 Cu
0.2598 0.2598 0.7402 Cl
0.2598 0.7402 0.2598 Cl
0.2598 0.7402 0.7402 Cl
0.7402 0.2598 0.2598 Cl
0.7402 0.2598 0.7402 Cl
0.7402 0.7402 0.2598 Cl
```

Energy   -3.93 eV per atom
Excess energy over the best structure of this formula in the dataset   0.049 eV per atom
Magnetic moment   0.1 μB/f.u.
Raw formation energy   -39.46 kcal/mol of atoms

***

First-principles (PBE) data for an optimized crystal structure of K2CuPtCl6, as listed in Alexandria.

The structure in POSCAR format:
```
K2CuPtCl6
1.0
3.4820 2.0103 11.8909
-3.4820 2.0103 11.8909
0.0000 -4.0206 11.8909
K Cu Pt Cl
4 2 2 12
Direct
0.1195 0.1195 0.1195 K
0.2992 0.2992 0.2992 K
0.7008 0.7008 0.7008 K
0.8805 0.8805 0.8805 K
0.4130 0.4130 0.4130 Cu
0.5870 0.5870 0.5870 Cu
0.0000 0.0000 0.0000 Pt
0.5000 0.5000 0.5000 Pt
0.1352 0.6206 0.6206 Cl
0.2075 0.2075 0.7064 Cl
0.2075 0.7064 0.2075 Cl
0.2936 0.7925 0.7925 Cl
0.3794 0.3794 0.8648 Cl
0.3794 0.8648 0.3794 Cl
0.6206 0.1352 0.6206 Cl
0.6206 0.6206 0.1352 Cl
0.7064 0.2075 0.2075 Cl
0.7925 0.2936 0.7925 Cl
0.7925 0.7925 0.2936 Cl
0.8648 0.3794 0.3794 Cl
```

Energy   -3.35 eV per atom
Magnetic moment   0.5 μB/f.u.
Raw formation energy   -23.37 kcal/mol of atoms

***

First-principles (PBE) data for an optimized crystal structure of K2PuCu2Cl6, as listed in Alexandria.

The structure in POSCAR format:
```
K2PuCu2Cl6
1.0
6.2963 -3.7594 0.0000
6.2963 3.7594 0.0000
-3.9900 0.0000 6.7253
K Pu Cu Cl
2 1 2 6
Direct
0.2253 0.2253 0.1877 K
0.7747 0.7747 0.8123 K
0.0000 0.0000 0.5000 Pu
0.4594 0.4594 0.8136 Cu
0.5406 0.5406 0.1864 Cu
0.1854 0.6902 0.1934 Cl
0.2492 0.2492 0.6105 Cl
0.3098 0.8146 0.8066 Cl
0.6902 0.1854 0.1934 Cl
0.7508 0.7508 0.3895 Cl
0.8146 0.3098 0.8066 Cl
```

Energy   -4.58 eV per atom
Magnetic moment   6.0 μB/f.u.
Raw formation energy   -30.47 kcal/mol of atoms